HgPd7Pt3 | PBE | optimized geometry

Summary:
E_tot, eV per atom: -4.721
Symmetry: C2/m
DFT formation energy, meV/atom: 258
Density, Mg/m³: 13.17

Cell and atoms, written as extended XYZ:
```
11
Lattice="-2.176 -4.036 1.731 4.023 2.826 4.677 -4.194 5.331 0.185" Properties=species:S:1:pos:R:3 pbc="T T T"
Pd 1.432 0.675 3.357
Pd -2.967 2.017 0.952
Pd -3.780 3.446 3.236
Pd -0.408 0.692 1.132
Hg -1.174 2.061 3.296
Pd -1.940 3.430 5.461
Pt 2.107 3.410 3.630
Pt -2.278 4.747 1.232
Pd -0.086 4.079 2.431
Pt -1.088 -2.018 0.865
Pd 0.619 2.105 5.641
```